# 1
Below is a geometry-optimized BaTcSb2 structure, with properties calculated at the GGA-PBE level.

Symmetry ... No. 63
E ... -5.47 eV per atom
Calculated volume ... 229 Å³ per cell
ρ ... 6.9 g/cm3

The structure in POSCAR format:
```
BaTcSb2
1.0
2.451 -9.381 0.000
2.451 9.381 0.000
0.000 0.000 4.984
Sb Ba Tc
4 2 2
Direct
0.051 0.949 0.750
0.949 0.051 0.250
0.751 0.249 0.750
0.249 0.751 0.250
0.606 0.394 0.250
0.394 0.606 0.750
0.187 0.813 0.750
0.813 0.187 0.250
```

***

# 2
Below is a geometry-optimized BaTcSb structure, with properties calculated at the GGA-PBE level.

Symmetry ... No. 216
E ... -5.05 eV per atom
Calculated volume ... 84 Å³ per cell
ρ ... 7.1 g/cm3

The structure in POSCAR format:
```
BaTcSb
1.0
-2.967 -3.337 2.036
-3.698 -1.908 -2.601
0.192 -4.678 -1.472
Tc Sb Ba
1 1 1
Direct
0.000 0.000 0.000
0.750 0.750 0.750
0.250 0.250 0.250
```

***

Please write out number 2 again, unchanged.
Below is a geometry-optimized BaTcSb structure, with properties calculated at the GGA-PBE level.

Symmetry ... No. 216
E ... -5.05 eV per atom
Calculated volume ... 84 Å³ per cell
ρ ... 7.1 g/cm3

The structure in POSCAR format:
```
BaTcSb
1.0
-2.967 -3.337 2.036
-3.698 -1.908 -2.601
0.192 -4.678 -1.472
Tc Sb Ba
1 1 1
Direct
0.000 0.000 0.000
0.750 0.750 0.750
0.250 0.250 0.250
```

***

> What is the formula in the second record?

BaTcSb